[1]
# Re2PbAu

Crystalline Re2PbAu at its relaxed geometry (PBE, Alexandria).

density = 17.4 g/cm³
E_tot = -6.81 eV/atom
DFT formation energy = 1162 meV/atom
symmetry = Cmmm

abc: 2.816 2.816 10.164
angles: 90.00 90.00 112.80
Fractional coordinates of all 4 atoms:
1 Au 0.500 0.500 0.250
2 Pb 0.500 0.500 0.750
3 Re 0.000 0.000 0.019
4 Re 0.000 0.000 0.481


[2]
# RePb2Au

Crystalline RePb2Au at its relaxed geometry (PBE, Alexandria).

density = 15.3 g/cm³
E_tot = -4.91 eV/atom
DFT formation energy = 878 meV/atom
ΔE to the lowest computed polymorph = 1.204 eV per formula unit
symmetry = I-4m2

abc: 5.680 5.680 5.680
angles: 136.24 136.24 63.61
Site moments in Bohr magnetons follow the coordinates.
Fractional coordinates of all 4 atoms:
1 Pb 0.250 0.750 0.500  -0.01
2 Pb 0.000 0.000 0.000  -0.01
3 Au 0.750 0.250 0.500  -0.01
4 Re 0.500 0.500 0.000  1.13


[3]
# Re2PbAu

Crystalline Re2PbAu at its relaxed geometry (PBE, Alexandria).

density = 15.4 g/cm³
E_tot = -7.16 eV/atom
DFT formation energy = 813 meV/atom
symmetry = P2/m

abc: 4.861 3.755 4.607
angles: 95.18 90.00 90.00
Fractional coordinates of all 4 atoms:
1 Pb 0.500 0.750 0.750
2 Au 0.500 0.250 0.250
3 Re 0.000 0.548 0.422
4 Re 0.000 0.952 0.078


[4]
# Re2PbAu

Crystalline Re2PbAu at its relaxed geometry (PBE, Alexandria).

density = 18.2 g/cm³
E_tot = -6.84 eV/atom
DFT formation energy = 1127 meV/atom
symmetry = I4/mmm

abc: 5.137 5.137 5.137
angles: 133.22 133.22 68.31
Fractional coordinates of all 4 atoms:
1 Au 0.250 0.750 0.500
2 Pb 0.750 0.250 0.500
3 Re 0.000 0.000 0.000
4 Re 0.500 0.500 0.000


[5]
# RePb2Au

Crystalline RePb2Au at its relaxed geometry (PBE, Alexandria).

density = 14.0 g/cm³
E_tot = -5.17 eV/atom
DFT formation energy = 620 meV/atom
ΔE to the lowest computed polymorph = 0.171 eV per formula unit
symmetry = Imm2

abc: 7.207 7.207 7.207
angles: 155.25 142.61 45.36
Fractional coordinates of all 4 atoms:
1 Pb 0.697 0.197 0.500
2 Pb 0.991 0.991 0.000
3 Re 0.494 0.494 0.000
4 Au 0.318 0.818 0.500


[6]
# Re2PbAu

Crystalline Re2PbAu at its relaxed geometry (PBE, Alexandria).

density = 17.2 g/cm³
E_tot = -7.48 eV/atom
DFT formation energy = 490 meV/atom
symmetry = R3m

abc: 10.142 10.142 10.142
angles: 16.67 16.67 16.67
Fractional coordinates of all 4 atoms:
1 Au 0.510 0.510 0.510
2 Pb 0.745 0.745 0.745
3 Re 0.989 0.989 0.989
4 Re 0.256 0.256 0.256


[7]
# Re2PbAu

Crystalline Re2PbAu at its relaxed geometry (PBE, Alexandria).

density = 16.0 g/cm³
E_tot = -7.18 eV/atom
DFT formation energy = 786 meV/atom
symmetry = C2/m

abc: 5.049 5.049 5.013
angles: 84.35 84.35 39.25
Fractional coordinates of all 4 atoms:
1 Au 0.250 0.250 0.250
2 Pb 0.750 0.750 0.750
3 Re 0.518 0.518 0.416
4 Re 0.982 0.982 0.084


[8]
# Re2PbAu

Crystalline Re2PbAu at its relaxed geometry (PBE, Alexandria).

density = 17.8 g/cm³
E_tot = -6.90 eV/atom
DFT formation energy = 1073 meV/atom
symmetry = F-43m

abc: 4.676 4.676 4.676
angles: 60.00 60.00 60.00
Fractional coordinates of all 4 atoms:
1 Re 0.000 0.000 0.000
2 Re 0.250 0.250 0.250
3 Pb 0.750 0.750 0.750
4 Au 0.500 0.500 0.500


[9]
# RePb2Au

Crystalline RePb2Au at its relaxed geometry (PBE, Alexandria).

density = 14.9 g/cm³
E_tot = -4.77 eV/atom
DFT formation energy = 1012 meV/atom
ΔE to the lowest computed polymorph = 1.740 eV per formula unit
symmetry = F-43m

abc: 5.011 5.011 5.011
angles: 60.00 60.00 60.00
Site moments in Bohr magnetons follow the coordinates.
Fractional coordinates of all 4 atoms:
1 Re 0.750 0.750 0.750  1.04
2 Pb 0.000 0.000 0.000  -0.05
3 Pb 0.250 0.250 0.250  -0.02
4 Au 0.500 0.500 0.500  0.03


[10]
# RePb2Au

Crystalline RePb2Au at its relaxed geometry (PBE, Alexandria).

density = 15.0 g/cm³
E_tot = -4.87 eV/atom
DFT formation energy = 915 meV/atom
ΔE to the lowest computed polymorph = 1.350 eV per formula unit
symmetry = P2/m

abc: 5.167 2.949 5.795
angles: 89.17 90.00 90.00
Fractional coordinates of all 4 atoms:
1 Au 0.500 0.750 0.750
2 Pb 0.000 0.487 0.495
3 Pb 0.000 0.013 0.005
4 Re 0.500 0.250 0.250


[11]
# RePb3Au

Crystalline RePb3Au at its relaxed geometry (PBE, Alexandria).

density = 11.1 g/cm³
E_tot = -4.85 eV/atom
DFT formation energy = 519 meV/atom
ΔE to the lowest computed polymorph = 0.000 eV per formula unit
symmetry = Pm-3m

abc: 5.317 5.317 5.317
angles: 90.00 90.00 90.00
Fractional coordinates of all 5 atoms:
1 Re 0.000 0.000 0.000
2 Pb 0.500 0.000 0.000
3 Pb 0.000 0.000 0.500
4 Pb 0.000 0.500 0.000
5 Au 0.500 0.500 0.500


[12]
# RePb2Au

Crystalline RePb2Au at its relaxed geometry (PBE, Alexandria).

density = 14.9 g/cm³
E_tot = -5.10 eV/atom
DFT formation energy = 690 meV/atom
ΔE to the lowest computed polymorph = 0.449 eV per formula unit
symmetry = Cm

abc: 5.730 5.730 5.604
angles: 74.74 74.74 30.19
Fractional coordinates of all 4 atoms:
1 Re 0.535 0.535 0.551
2 Pb 0.782 0.782 0.681
3 Pb 0.972 0.972 0.054
4 Au 0.211 0.211 0.214


[13]
# RePb2Au

Crystalline RePb2Au at its relaxed geometry (PBE, Alexandria).

density = 15.4 g/cm³
E_tot = -4.85 eV/atom
DFT formation energy = 931 meV/atom
ΔE to the lowest computed polymorph = 1.413 eV per formula unit
symmetry = Fm-3m

abc: 4.958 4.958 4.958
angles: 60.00 60.00 60.00
Fractional coordinates of all 4 atoms:
1 Pb 0.750 0.750 0.750
2 Pb 0.250 0.250 0.250
3 Re 0.000 0.000 0.000
4 Au 0.500 0.500 0.500


[14]
# RePb2Au

Crystalline RePb2Au at its relaxed geometry (PBE, Alexandria).

density = 15.2 g/cm³
E_tot = -5.06 eV/atom
DFT formation energy = 724 meV/atom
ΔE to the lowest computed polymorph = 0.587 eV per formula unit
symmetry = R-3m

abc: 9.476 9.476 9.476
angles: 20.01 20.01 20.01
Site moments in Bohr magnetons follow the coordinates.
Fractional coordinates of all 4 atoms:
1 Re 0.250 0.250 0.250  0.14
2 Au 0.750 0.750 0.750  0.00
3 Pb 0.995 0.995 0.995  0.00
4 Pb 0.505 0.505 0.505  0.00


[15]
# RePb2Au

Crystalline RePb2Au at its relaxed geometry (PBE, Alexandria).

density = 12.7 g/cm³
E_tot = -5.20 eV/atom
DFT formation energy = 584 meV/atom
ΔE to the lowest computed polymorph = 0.026 eV per formula unit
symmetry = C2/m

abc: 7.864 7.864 4.798
angles: 72.06 72.06 21.67
Fractional coordinates of all 4 atoms:
1 Au 0.250 0.250 0.250
2 Pb 0.416 0.416 0.584
3 Pb 0.084 0.084 0.916
4 Re 0.750 0.750 0.750


[16]
# Re2PbAu

Crystalline Re2PbAu at its relaxed geometry (PBE, Alexandria).

density = 16.5 g/cm³
E_tot = -7.16 eV/atom
DFT formation energy = 814 meV/atom
symmetry = Imm2

abc: 6.426 6.426 6.426
angles: 154.60 136.42 51.12
Fractional coordinates of all 4 atoms:
1 Re 0.976 0.976 0.000
2 Re 0.795 0.295 0.500
3 Au 0.518 0.518 0.000
4 Pb 0.212 0.712 0.500


[17]
# RePb2Au

Crystalline RePb2Au at its relaxed geometry (PBE, Alexandria).

density = 15.6 g/cm³
E_tot = -4.93 eV/atom
DFT formation energy = 859 meV/atom
ΔE to the lowest computed polymorph = 1.126 eV per formula unit
symmetry = I4/mmm

abc: 5.233 5.233 5.233
angles: 128.73 128.73 75.44
Fractional coordinates of all 4 atoms:
1 Au 0.750 0.250 0.500
2 Re 0.250 0.750 0.500
3 Pb 0.500 0.500 0.000
4 Pb 0.000 0.000 0.000


[18]
# Re2PbAu

Crystalline Re2PbAu at its relaxed geometry (PBE, Alexandria).

density = 16.6 g/cm³
E_tot = -7.57 eV/atom
DFT formation energy = 404 meV/atom
symmetry = Pm

abc: 3.024 3.022 9.619
angles: 62.02 90.00 90.00
Fractional coordinates of all 4 atoms:
1 Pb 0.500 0.895 0.775
2 Au 0.000 0.376 0.460
3 Re 0.000 0.990 0.048
4 Re 0.500 0.239 0.217


[19]
# Re2PbAu

Crystalline Re2PbAu at its relaxed geometry (PBE, Alexandria).

density = 18.2 g/cm³
E_tot = -6.95 eV/atom
DFT formation energy = 1018 meV/atom
symmetry = R-3m

abc: 9.250 9.250 9.250
angles: 18.69 18.69 18.69
Fractional coordinates of all 4 atoms:
1 Re 0.502 0.502 0.502
2 Re 0.998 0.998 0.998
3 Au 0.250 0.250 0.250
4 Pb 0.750 0.750 0.750


[20]
# Re2Pb2Au

Crystalline Re2Pb2Au at its relaxed geometry (PBE, Alexandria).

density = 14.0 g/cm³
E_tot = -6.08 eV/atom
DFT formation energy = 1041 meV/atom
ΔE to the lowest computed polymorph = 1.468 eV per formula unit
symmetry = I4/mmm

abc: 5.451 5.451 5.498
angles: 60.29 60.29 90.00
Fractional coordinates of all 5 atoms:
1 Au 0.000 0.000 0.000
2 Re 0.356 0.356 0.287
3 Re 0.644 0.644 0.713
4 Pb 0.250 0.750 0.500
5 Pb 0.750 0.250 0.500